Cs2CdTeF, relaxed, DFT GGA-PBE; volume = 305.9 Å³/f.u.; uncorrected formation energy = -0.9976 eV/atom
1.0
7.3504 0.0000 0.0000
0.0000 7.3504 0.0000
0.0000 0.0000 5.6627
Cs Cd Te F
2 1 1 1
Cartesian
0.0000 3.6752 0.0000
3.6752 0.0000 0.0000
0.0000 0.0000 2.8313
0.0000 0.0000 0.0000
3.6752 3.6752 2.8313